! PBE PC, optimized geometry; values from VASP
&SYSTEM
  ibrav = 0, nat = 6, ntyp = 2
/
ATOMIC_SPECIES
P 30.97 P.upf
C 12.01 C.upf
ATOMIC_POSITIONS angstrom
P 0.8847 1.5323 0.0000
P 3.1109 0.0000 0.0000
P 0.8847 -1.5323 0.0000
C 0.0000 0.0000 0.0000
C 2.4401 -1.4088 1.3953
C 2.4401 1.4088 1.3953
CELL_PARAMETERS angstrom
2.4401 -4.2264 0.0000
2.4401 4.2264 0.0000
0.0000 0.0000 2.7906
! calculated formation energy	124.7	kJ per mole of atoms
! space group	P-62m, No. 189
! distance to the lowest polymorph of the same formula	189.0	kJ/mol of formula units